First-principles (GGA-PBE) data for CsBI4 after structural relaxation, as listed in the Alexandria database.

Values from the calculation:
**Symmetry**: P2_1/c (14)
**Total magnetic moment**: 0.00 μB per formula unit
**Uncorrected formation energy**: -575 meV per atom

Cell lengths 9.6667, 12.4078, 13.5776 Å; angles 90.00, 134.38, 90.00 degrees
Element x y z (fractional)
Cs  0.2437  0.1642  0.2450
Cs  0.2437  0.3358  0.7450
Cs  0.7563  0.6642  0.2550
Cs  0.7563  0.8358  0.7550
B  0.2578  0.7391  0.7535
B  0.2578  0.7609  0.2535
B  0.7422  0.2391  0.7465
B  0.7422  0.2609  0.2465
I  0.0103  0.6513  0.0891
I  0.0103  0.8487  0.5891
I  0.1722  0.6324  0.8396
I  0.1722  0.8676  0.3396
I  0.3365  0.6315  0.6636
I  0.3365  0.8685  0.1636
I  0.4869  0.1572  0.0775
I  0.4869  0.3428  0.5775
I  0.5131  0.6572  0.4225
I  0.5131  0.8428  0.9225
I  0.6635  0.1315  0.8364
I  0.6635  0.3685  0.3364
I  0.8278  0.1324  0.6604
I  0.8278  0.3676  0.1604
I  0.9897  0.1513  0.4109
I  0.9897  0.3487  0.9109